This record from the Alexandria database describes a crystal of KZr2Ni relaxed with PBEsol. The functional is meta-GGA SCAN.

```
KZr2Ni
1.0
1.7442 1.0070 10.0670
-1.7442 1.0070 10.0670
0.0000 -2.0140 10.0670
K Zr Ni
1 2 1
Direct
0.0000 0.0000 0.0000 K
0.2166 0.2166 0.2166 Zr
0.7834 0.7834 0.7834 Zr
0.5000 0.5000 0.5000 Ni
```

Summary:
The space group is R-3m. The polymorph energy (0 for the lowest one) is 40 meV per atom.